1.
The following is a DFT calculation (PBE) of a geometry-optimized Ti2GeBi2 structure.

**DFT total energy**: -57.1 eV per cell
**Theoretical density**: 8.94 g cm⁻³
**Energy of formation from the pure elements**: -0.07 eV per atom
**D(E_F)**: 0.84 states/eV/atom

Lattice parameters (Å, degrees): 7.211 7.211 4.189 90.00 90.00 90.00
Space group P4/mbm (No. 127)
One atom of each set of equivalent atoms:
Ti (0.149, 0.351, 0.000) (multiplicity 4)
Ge (0.000, 0.000, 0.000) (multiplicity 2)
Bi (0.159, 0.659, 0.500) (multiplicity 4)



2.
The following is a DFT calculation (PBE) of a geometry-optimized As3P2 structure.

**DFT total energy**: -136.9 eV per cell
**Theoretical density**: 4.67 g cm⁻³
**Energy of formation from the pure elements**: 0.39 eV per atom
**D(E_F)**: 0.39 states/eV/atom

Lattice parameters (Å, degrees): 6.3943 6.3943 17.2635 90.00 90.00 120.00
Space group R-3c (No. 167, hexagonal axes)
One atom of each set of equivalent atoms:
As (0.0000, 0.2944, 0.2500) (multiplicity 18)
P (0.0000, 0.0000, 0.1522) (multiplicity 12)



3.
The following is a DFT calculation (PBE) of a geometry-optimized PWAuCl2 structure.

**DFT total energy**: -18.3 eV per cell
**Theoretical density**: 6.74 g cm⁻³
**Energy relative to the elements, uncorrected**: 1.412 eV per atom
**D(E_F)**: 1.26 states/eV/atom
**Energy above the most stable polymorph in this dataset**: 984 meV per atom

Lattice parameters (Å, degrees): 4.780 4.780 5.201 90.00 90.00 90.00
Space group P4/mmm (No. 123)
One atom of each set of equivalent atoms:
P (0.000, 0.000, 0.000) (multiplicity 1)
W (0.500, 0.500, 0.000) (multiplicity 1)
Au (0.000, 0.000, 0.500) (multiplicity 1)
Cl (0.000, 0.500, 0.500) (multiplicity 2)



4.
The following is a DFT calculation (PBE) of a geometry-optimized PrSm2I structure.

**DFT total energy**: -52.1 eV per cell
**Theoretical density**: 6.97 g cm⁻³
**Energy relative to the elements, uncorrected**: -0.398 eV per atom
**D(E_F)**: 0.73 states/eV/atom
**Energy above the most stable polymorph in this dataset**: 0 meV per atom

Lattice parameters (Å, degrees): 3.8169 3.8169 32.1970 90.00 90.00 120.00
Space group R-3m (No. 166, hexagonal axes)
One atom of each set of equivalent atoms:
Pr (0.0000, 0.0000, 0.0000) (multiplicity 3)
Sm (0.0000, 0.0000, 0.2443) (multiplicity 6)
I (0.0000, 0.0000, 0.5000) (multiplicity 3)



5.
The following is a DFT calculation (PBE) of a geometry-optimized Pr2Zn4InGa3 structure.

**DFT total energy**: -31.0 eV per cell
**Theoretical density**: 7.11 g cm⁻³
**Energy of formation from the pure elements**: -0.45 eV per atom
**D(E_F)**: 0.21 states/eV/atom

Lattice parameters (Å, degrees): 4.318 4.318 10.861 90.00 90.00 90.00
Space group P-4m2 (No. 115)
One atom of each set of equivalent atoms:
Pr (0.000, 0.500, 0.239) (multiplicity 2)
Zn (0.000, 0.000, 0.000) (multiplicity 1)
Zn (0.000, 0.500, 0.647) (multiplicity 2)
Zn (0.500, 0.500, 0.000) (multiplicity 1)
In (0.000, 0.000, 0.500) (multiplicity 1)
Ga (0.000, 0.500, 0.871) (multiplicity 2)
Ga (0.500, 0.500, 0.500) (multiplicity 1)



6.
The following is a DFT calculation (PBE) of a geometry-optimized Cs4Nd3InO8 structure.

**DFT total energy**: -285.6 eV per cell
**Theoretical density**: 6.27 g cm⁻³
**Energy relative to the elements, uncorrected**: -2.192 eV per atom
**D(E_F)**: 0.00 states/eV/atom

Lattice parameters (Å, degrees): 7.3012 7.3012 20.7731 90.00 90.00 120.00
Space group R-3m (No. 166, hexagonal axes)
One atom of each set of equivalent atoms:
Cs (0.0000, 0.0000, 0.0000) (multiplicity 3)
Cs (0.0000, 0.5000, 0.0000) (multiplicity 9)
Nd (0.0000, 0.5000, 0.5000) (multiplicity 9)
In (0.0000, 0.0000, 0.5000) (multiplicity 3)
O (0.0000, 0.0000, 0.2227) (multiplicity 6)
O (0.0102, 0.5051, 0.2234) (multiplicity 18)



7.
The following is a DFT calculation (PBE) of a geometry-optimized HfGaTeAs2 structure.

**DFT total energy**: -25.1 eV per cell
**Theoretical density**: 5.80 g cm⁻³
**Energy relative to the elements, uncorrected**: 0.057 eV per atom
**D(E_F)**: 0.76 states/eV/atom

Lattice parameters (Å, degrees): 5.175 5.175 5.614 90.00 90.00 90.00
Space group P4/mmm (No. 123)
One atom of each set of equivalent atoms:
Hf (0.000, 0.000, 0.000) (multiplicity 1)
Ga (0.500, 0.500, 0.500) (multiplicity 1)
Te (0.000, 0.000, 0.500) (multiplicity 1)
As (0.000, 0.500, 0.000) (multiplicity 2)



8.
The following is a DFT calculation (PBE) of a geometry-optimized Ho5HfIr6 structure.

**DFT total energy**: -193.0 eV per cell
**Theoretical density**: 15.34 g cm⁻³
**Energy of formation from the pure elements**: -0.87 eV per atom
**D(E_F)**: 0.19 states/eV/atom

Lattice parameters (Å, degrees): 4.699 14.128 7.032 90.00 90.00 90.00
Space group Cmmm (No. 65)
One atom of each set of equivalent atoms:
Ho (0.000, 0.000, 0.000) (multiplicity 2)
Ho (0.000, 0.332, 0.500) (multiplicity 4)
Ho (0.000, 0.334, 0.000) (multiplicity 4)
Hf (0.000, 0.000, 0.500) (multiplicity 2)
Ir (0.000, 0.161, 0.256) (multiplicity 8)
Ir (0.000, 0.500, 0.267) (multiplicity 4)



9.
The following is a DFT calculation (PBE) of a geometry-optimized K2BaYB structure.

**DFT total energy**: -12.2 eV per cell
**Theoretical density**: 2.38 g cm⁻³
**Energy of formation from the pure elements**: 1.01 eV per atom
**D(E_F)**: 1.37 states/eV/atom

Lattice parameters (Å, degrees): 6.152 6.152 5.808 90.00 90.00 90.00
Space group P4/mmm (No. 123)
One atom of each set of equivalent atoms:
K (0.000, 0.500, 0.000) (multiplicity 2)
Ba (0.000, 0.000, 0.500) (multiplicity 1)
Y (0.500, 0.500, 0.500) (multiplicity 1)
B (0.000, 0.000, 0.000) (multiplicity 1)



10.
The following is a DFT calculation (PBE) of a geometry-optimized Rb2CuCCl6 structure.

**DFT total energy**: -62.6 eV per cell
**Theoretical density**: 3.41 g cm⁻³
**Energy relative to the elements, uncorrected**: -0.499 eV per atom
**D(E_F)**: 0.31 states/eV/atom

Lattice parameters (Å, degrees): 6.816 6.816 9.635 90.00 90.00 90.00
Space group I4/mmm (No. 139)
One atom of each set of equivalent atoms:
Rb (0.000, 0.500, 0.250) (multiplicity 4)
Cu (0.000, 0.000, 0.000) (multiplicity 2)
C (0.000, 0.000, 0.500) (multiplicity 2)
Cl (0.000, 0.000, 0.258) (multiplicity 4)
Cl (0.245, 0.245, 0.500) (multiplicity 8)



11.
The following is a DFT calculation (PBE) of a geometry-optimized LuThMgAg structure.

**DFT total energy**: -65.7 eV per cell
**Theoretical density**: 8.63 g cm⁻³
**Energy of formation from the pure elements**: -0.01 eV per atom
**D(E_F)**: 1.05 states/eV/atom

Lattice parameters (Å, degrees): 7.458 7.458 7.458 90.00 90.00 90.00
Space group F-43m (No. 216)
One atom of each set of equivalent atoms:
Lu (0.000, 0.000, 0.000) (multiplicity 4)
Th (0.000, 0.000, 0.500) (multiplicity 4)
Mg (0.250, 0.250, 0.250) (multiplicity 4)
Ag (0.250, 0.250, 0.750) (multiplicity 4)



12.
The following is a DFT calculation (PBE) of a geometry-optimized Nd12Dy7Pu structure.

**DFT total energy**: -297.8 eV per cell
**Theoretical density**: 7.49 g cm⁻³
**Energy of formation from the pure elements**: 0.22 eV per atom
**D(E_F)**: 1.60 states/eV/atom

Lattice parameters (Å, degrees): 19.6130 19.6130 6.2148 90.00 90.00 120.00
Space group R-3 (No. 148, hexagonal axes)
One atom of each set of equivalent atoms:
Nd (0.0002, 0.4128, 0.0000) (multiplicity 18)
Nd (0.0975, 0.5490, 0.4779) (multiplicity 18)
Dy (0.0000, 0.0000, 0.0000) (multiplicity 3)
Dy (0.0805, 0.1602, 0.3038) (multiplicity 18)
Pu (0.0000, 0.0000, 0.5000) (multiplicity 3)